! PBE+U CaLaMnMoO6, optimized geometry; values from VASP
&SYSTEM
  ibrav = 0, nat = 20, ntyp = 5
/
ATOMIC_SPECIES
Ca 40.08 Ca.upf
La 138.91 La.upf
Mn 54.94 Mn.upf
Mo 95.94 Mo.upf
O 16.00 O.upf
ATOMIC_POSITIONS crystal
Ca 0.000 0.195 0.000
Ca 0.000 0.805 0.500
La 0.533 0.303 0.511
La 0.533 0.697 0.011
Mn 0.767 0.247 0.255
Mn 0.767 0.753 0.755
Mo 0.269 0.248 0.756
Mo 0.269 0.752 0.256
O 0.035 0.470 0.199
O 0.035 0.530 0.699
O 0.124 0.208 0.513
O 0.124 0.792 0.013
O 0.405 0.287 0.997
O 0.405 0.713 0.497
O 0.503 0.030 0.309
O 0.503 0.970 0.809
O 0.615 0.441 0.807
O 0.615 0.559 0.307
O 0.921 0.058 0.704
O 0.921 0.942 0.204
CELL_PARAMETERS angstrom
5.607 0.000 0.000
0.000 5.772 0.000
-5.508 0.000 8.079
! Space-group type: Pc, No. 7
! Calculated density: 5.41 Mg/m³
! VASP energy: -7.588 eV/atom